Entry from Alexandria: ZrCrGe after structural relaxation (GGA-PBE).

Summary:
Theoretical density: 7.5 g/cm3
Uncorrected energy: -95.19 eV for the cell shown
Space group: Imma, No. 74
Total magnetization: 0.036 μB/cell

```
ZrCrGe
1.0
-3.6230 0.2423 -3.9463
-0.5566 -4.9856 0.2050
-5.1738 0.7749 4.7975
Cr Zr Ge
4 4 4
direct
0.0000 0.5000 0.0000 Cr
0.0000 0.0000 0.0000 Cr
0.5000 0.0000 0.5000 Cr
0.5000 0.5000 0.5000 Cr
0.5000 0.2500 0.1335 Zr
0.0000 0.7500 0.6335 Zr
0.5000 0.7500 0.8665 Zr
0.0000 0.2500 0.3665 Zr
0.2500 0.2500 0.7500 Ge
0.7500 0.2500 0.7500 Ge
0.7500 0.7500 0.2500 Ge
0.2500 0.7500 0.2500 Ge
```